Entry 1:
The following is a DFT calculation (PBE-GGA) of crystalline La8Co2Si at its relaxed geometry.

Crystal system = monoclinic
Space-group type = No. 8
Energy relative to the elements, uncorrected = -8.0 kJ per mole of atoms

Cell: 5.0538 8.2799 8.2799 Å, 111.39 96.77 96.77°
With the nearest neighbours (Å) after each atom.
Sites, in units of the cell vectors:
La  0.4499  0.6952  0.9532  2 Co 3.00-3.20, 2 La 3.23-3.28
La  0.9997  0.2693  0.7534  2 Co 2.64-2.66
La  0.5667  0.2944  0.0611  2 Co 3.18-3.22, 5 La 3.19-3.54, 2 Si 3.37-3.39
La  0.5667  0.0611  0.2944  2 Co 3.18-3.22, 5 La 3.19-3.54, 2 Si 3.37-3.39
La  0.4499  0.9532  0.6952  2 Co 3.00-3.20, 2 La 3.23-3.28
La  0.1905  0.3808  0.3808  2 Co 3.03, 3 La 3.36-3.37
La  0.7902  0.6280  0.6280  2 Co 3.06, 4 La 3.28-3.40
La  0.9997  0.7534  0.2693  2 Co 2.64-2.66
Si  0.0035  0.0047  0.0047  12 La 3.37-3.55
Co  0.4915  0.3125  0.6814  2 La 2.64-2.66
Co  0.4915  0.6814  0.3125  2 La 2.64-2.66

---

Entry 2:
The following is a DFT calculation (PBE-GGA) of crystalline La2CoSi3 at its relaxed geometry.

Crystal system = hexagonal
Space-group type = No. 187
Energy relative to the elements, uncorrected = -60.7 kJ per mole of atoms

Cell: 4.0668 4.0668 8.7429 Å, 90.00 90.00 120.00°
With the nearest neighbours (Å) after each atom.
Sites, in units of the cell vectors:
Co  0.6667  0.3333  0.5000  3 Si 2.35
La  0.3333  0.6667  0.2576  3 Co 3.16, 9 Si 3.16-3.25
La  0.3333  0.6667  0.7424  3 Co 3.16, 9 Si 3.16-3.25
Si  0.0000  0.0000  0.5000  3 Co 2.35
Si  0.0000  0.0000  0.0000  3 Si 2.35
Si  0.6667  0.3333  0.0000  3 Si 2.35

---

Entry 3:
The following is a DFT calculation (PBE-GGA) of crystalline La2CoSi at its relaxed geometry.

Crystal system = monoclinic
Space-group type = No. 12
Energy relative to the elements, uncorrected = -7.3 kJ per mole of atoms

Cell: 4.1750 4.1750 7.6139 Å, 77.10 77.10 53.94°
With the nearest neighbours (Å) after each atom.
Sites, in units of the cell vectors:
La  0.5082  0.5082  0.4748  3 Co 2.87-2.88, 3 Si 3.09-3.11
La  0.9918  0.9918  0.0252  3 Co 2.87-2.88, 3 Si 3.09-3.11
Si  0.7500  0.7500  0.7500  6 La 3.09-3.11
Co  0.2500  0.2500  0.2500  6 La 2.87-2.88

---

Entry 4:
The following is a DFT calculation (PBE-GGA) of crystalline LaCo2Si at its relaxed geometry.

Crystal system = tetragonal
Space-group type = No. 119
Energy relative to the elements, uncorrected = 17.2 kJ per mole of atoms

Cell: 5.3520 5.3520 5.3520 Å, 139.09 139.09 59.24°
With the nearest neighbours (Å) after each atom.
Sites, in units of the cell vectors:
Co  0.2500  0.7500  0.5000  4 Si 2.65
Co  0.0000  0.0000  0.0000  4 La 2.65
La  0.5000  0.5000  0.0000  4 Co 2.65
Si  0.7500  0.2500  0.5000  4 Co 2.65

---

Entry 5:
The following is a DFT calculation (PBE-GGA) of crystalline LaCoSi2 at its relaxed geometry.

Crystal system = monoclinic
Space-group type = No. 15
Energy relative to the elements, uncorrected = -59.9 kJ per mole of atoms

Cell: 5.7655 5.5105 5.9279 Å, 103.47 105.35 118.48°
With the nearest neighbours (Å) after each atom.
Sites, in units of the cell vectors:
La  0.1223  0.3723  0.2446  4 Co 2.95-3.30, 6 Si 3.06-3.15
La  0.8777  0.6277  0.7554  4 Co 2.95-3.30, 6 Si 3.06-3.15
Si  0.2861  0.3600  0.7778  2 Co 2.33, 1 Si 2.54
Si  0.7139  0.6400  0.2222  2 Co 2.33, 1 Si 2.54
Si  0.5083  0.0822  0.2222  2 Co 2.33, 1 Si 2.54
Si  0.4917  0.9178  0.7778  2 Co 2.33, 1 Si 2.54
Co  0.7761  0.0261  0.5523  4 Si 2.33
Co  0.2239  0.9739  0.4477  4 Si 2.33

---

Entry 6:
The following is a DFT calculation (PBE-GGA) of crystalline LaCo2Si at its relaxed geometry.

Crystal system = trigonal
Space-group type = No. 160
Energy relative to the elements, uncorrected = 37.8 kJ per mole of atoms

Cell: 8.6817 8.6817 8.6817 Å, 20.19 20.19 20.19°
With the nearest neighbours (Å) after each atom.
Sites, in units of the cell vectors:
Si  0.7291  0.7291  0.7291  3 Co 2.35
La  0.5024  0.5024  0.5024  6 La 3.04, 3 Co 3.07, 3 Si 3.24
Co  0.0010  0.0010  0.0010  3 Si 2.35, 3 Co 2.45
Co  0.2675  0.2675  0.2675  3 Co 2.45